No. 1
Material: ErTaNi
Method: DFT, PBE-GGA
State: optimized geometry

Values from the calculation:
As for the formation energy from the elements: 340.0 meV per atom. Its crystal system is cubic. The calculation puts the relative energy among the computed polymorphs at 0.0 meV per atom. As for the total magnetization: 0.67 Bohr magnetons per cell.

a = 4.421 Å, b = 4.421 Å, c = 4.421 Å
α = 60.00°, β = 60.00°, γ = 60.00°
Site moments in Bohr magnetons follow the coordinates.
Element x y z (fractional)
Er 0.250 0.250 0.250  0.12
Ni 0.000 0.000 0.000  0.14
Ta 0.750 0.750 0.750  0.30

No. 2
Material: TbEr2Ni9
Method: DFT, PBE-GGA
State: optimized geometry

Values from the calculation:
As for the formation energy from the elements: -432.1 meV per atom. Its crystal system is trigonal. The calculation puts the relative energy among the computed polymorphs at 0.0 meV per atom. As for the total magnetization: 0.92 Bohr magnetons per cell.

a = 8.544 Å, b = 8.544 Å, c = 8.544 Å
α = 33.57°, β = 33.57°, γ = 33.57°
Site moments in Bohr magnetons follow the coordinates.
Element x y z (fractional)
Ni 0.417 0.919 0.417  -0.14
Ni 0.333 0.333 0.333  -0.12
Ni 0.081 0.583 0.583  -0.11
Ni 0.667 0.667 0.667  -0.12
Ni 0.583 0.081 0.583  -0.14
Ni 0.500 0.500 0.500  -0.09
Ni 0.417 0.417 0.919  -0.12
Ni 0.919 0.417 0.417  -0.11
Ni 0.583 0.583 0.081  -0.12
Tb 0.000 0.000 0.000  0.03
Er 0.139 0.139 0.139  0.04
Er 0.861 0.861 0.861  0.04